[1]
Crystalline NaHfTe3Au at its relaxed geometry, computed with PBE.

Summary:
total magnetic moment	0.0	μB/cell
V	27.52	A^3/atom
energy above the lowest structure with this stoichiometry	1.00	eV/f.u.

```
NaHfTe3Au
1.0
8.220 0.000 0.000
0.000 4.380 0.000
0.000 0.000 18.346
Te Na Hf Au
12 4 4 4
Direct
0.323 0.250 0.802 Te
0.001 0.750 0.926 Te
0.499 0.250 0.426 Te
0.371 0.750 0.046 Te
0.129 0.250 0.546 Te
0.177 0.750 0.302 Te
0.629 0.250 0.954 Te
0.677 0.750 0.198 Te
0.823 0.250 0.698 Te
0.501 0.750 0.574 Te
0.999 0.250 0.074 Te
0.871 0.750 0.454 Te
0.604 0.750 0.784 Na
0.896 0.250 0.284 Na
0.104 0.750 0.716 Na
0.396 0.250 0.216 Na
0.749 0.750 0.050 Hf
0.751 0.250 0.550 Hf
0.249 0.750 0.450 Hf
0.251 0.250 0.950 Hf
0.119 0.750 0.157 Au
0.381 0.250 0.657 Au
0.881 0.250 0.843 Au
0.619 0.750 0.343 Au
```

[2]
Crystalline YErCSe at its relaxed geometry, computed with PBE.

Summary:
total magnetic moment	0.0	μB/cell
E	-7.10	eV/atom
V	20.04	A^3/atom

```
YErCSe
1.0
-3.252 0.759 1.691
0.028 -1.816 -3.273
0.641 -11.535 6.407
C Er Y Se
2 2 2 2
Direct
0.000 0.000 0.253 C
0.000 0.000 0.747 C
0.667 0.333 0.649 Er
0.667 0.333 0.351 Er
0.333 0.667 0.849 Y
0.333 0.667 0.151 Y
0.333 0.667 0.500 Se
0.667 0.333 0.000 Se
```

[3]
Crystalline CsPrCoSe3 at its relaxed geometry, computed with PBE.

Summary:
total magnetic moment	4.3	μB/cell
E	-5.00	eV/atom
V	32.89	A^3/atom

```
CsPrCoSe3
1.0
-7.210 -4.112 4.414
-1.699 -0.982 -3.690
8.033 -6.981 -1.840
Co Se Cs Pr
2 6 2 2
Direct
0.930 0.750 0.413 Co
0.070 0.250 0.587 Co
0.078 0.250 0.813 Se
0.922 0.750 0.187 Se
0.466 0.750 0.152 Se
0.534 0.250 0.848 Se
0.815 0.250 0.447 Se
0.185 0.750 0.553 Se
0.253 0.250 0.290 Cs
0.747 0.750 0.710 Cs
0.686 0.250 0.139 Pr
0.314 0.750 0.861 Pr
```

[4]
Crystalline Gd2TmCd5 at its relaxed geometry, computed with PBE.

Summary:
total magnetic moment	0.0	μB/cell
E	-2.58	eV/atom
V	24.83	A^3/atom

```
Gd2TmCd5
1.0
-3.272 0.831 -3.863
-3.464 -5.165 1.824
-4.655 1.479 4.260
Cd Gd Tm
5 2 1
Direct
0.500 0.357 0.843 Cd
0.000 0.636 0.165 Cd
0.000 0.165 0.636 Cd
0.500 0.864 0.864 Cd
0.500 0.843 0.357 Cd
0.000 0.665 0.665 Gd
0.500 0.349 0.349 Gd
0.000 0.123 0.123 Tm
```

[5]
Crystalline Pd15Pb at its relaxed geometry, computed with PBE.

Summary:
V	21.28	A^3/atom
energy above the lowest structure with this stoichiometry	0.25	eV/f.u.

```
Pd15Pb
1.0
-3.585 -0.398 -1.680
3.081 -4.885 -5.414
-8.310 -33.747 25.724
Pd Pb
60 4
Direct
0.750 0.620 0.746 Pd
0.250 0.124 0.344 Pd
0.250 0.125 0.433 Pd
0.750 0.624 0.299 Pd
0.750 0.375 0.344 Pd
0.250 0.128 0.790 Pd
0.750 0.124 0.656 Pd
0.750 0.875 0.522 Pd
0.250 0.375 0.389 Pd
0.250 0.380 0.746 Pd
0.750 0.870 0.254 Pd
0.750 0.625 0.478 Pd
0.750 0.110 0.836 Pd
0.250 0.870 0.746 Pd
0.250 0.380 0.206 Pd
0.750 0.380 0.794 Pd
0.250 0.890 0.836 Pd
0.750 0.375 0.522 Pd
0.750 0.876 0.344 Pd
0.250 0.620 0.794 Pd
0.750 0.620 0.206 Pd
0.750 0.625 0.389 Pd
0.750 0.625 0.567 Pd
0.250 0.375 0.656 Pd
0.750 0.375 0.611 Pd
0.750 0.875 0.433 Pd
0.750 0.625 0.656 Pd
0.250 0.130 0.254 Pd
0.250 0.624 0.701 Pd
0.250 0.620 0.254 Pd
0.750 0.125 0.478 Pd
0.750 0.125 0.567 Pd
0.250 0.876 0.656 Pd
0.750 0.130 0.746 Pd
0.250 0.875 0.567 Pd
0.250 0.375 0.567 Pd
0.750 0.875 0.612 Pd
0.750 0.128 0.210 Pd
0.750 0.874 0.701 Pd
0.250 0.375 0.478 Pd
0.250 0.125 0.522 Pd
0.250 0.625 0.611 Pd
0.750 0.126 0.299 Pd
0.250 0.875 0.478 Pd
0.750 0.375 0.433 Pd
0.750 0.872 0.790 Pd
0.250 0.625 0.344 Pd
0.250 0.625 0.433 Pd
0.250 0.874 0.299 Pd
0.750 0.125 0.388 Pd
0.250 0.125 0.612 Pd
0.750 0.380 0.254 Pd
0.250 0.875 0.388 Pd
0.250 0.376 0.299 Pd
0.750 0.376 0.701 Pd
0.250 0.625 0.522 Pd
0.250 0.126 0.701 Pd
0.750 0.890 0.164 Pd
0.250 0.872 0.210 Pd
0.250 0.110 0.164 Pd
0.250 0.664 0.155 Pb
0.750 0.336 0.155 Pb
0.750 0.664 0.845 Pb
0.250 0.336 0.845 Pb
```

[6]
Crystalline KHoErNi2 at its relaxed geometry, computed with PBE.

Summary:
total magnetic moment	0.0	μB/cell
E	-4.44	eV/atom
V	26.00	A^3/atom

```
KHoErNi2
1.0
-2.956 2.138 0.320
-3.015 -5.173 6.714
-0.792 -2.387 8.637
K Ni Er Ho
1 2 1 1
Direct
0.000 0.000 0.000 K
0.000 0.793 0.793 Ni
0.000 0.206 0.206 Ni
0.500 0.670 0.670 Er
0.500 0.330 0.330 Ho
```

[7]
Crystalline Cd3Te2Br2 at its relaxed geometry, computed with PBE.

Summary:
E	-2.33	eV/atom
V	32.31	A^3/atom

```
Cd3Te2Br2
1.0
6.411 -3.976 3.639
-5.956 -5.543 -1.991
2.676 3.838 -6.947
Cd Te Br
6 4 4
Direct
0.750 0.913 0.163 Cd
0.163 0.750 0.913 Cd
0.587 0.337 0.250 Cd
0.250 0.587 0.337 Cd
0.337 0.250 0.587 Cd
0.913 0.163 0.750 Cd
0.000 0.944 0.500 Te
0.556 0.556 0.556 Te
0.500 0.000 0.944 Te
0.944 0.500 0.000 Te
0.031 0.031 0.031 Br
0.469 0.500 0.000 Br
0.500 0.000 0.469 Br
0.000 0.469 0.500 Br
```

[8]
Crystalline KLiTePt at its relaxed geometry, computed with PBE.

Summary:
total magnetic moment	0.0	μB/cell
V	21.45	A^3/atom
energy above the lowest structure with this stoichiometry	0.03	eV/f.u.

```
KLiTePt
1.0
0.000 3.501 3.501
3.501 0.000 3.501
3.501 3.501 0.000
Pt Te Li K
1 1 1 1
Direct
0.500 0.500 0.500 Pt
0.250 0.250 0.250 Te
0.750 0.750 0.750 Li
0.000 0.000 0.000 K
```